Record 1
Crystalline InHg6Pb at its relaxed geometry. Source: Alexandria, functional PBE-GGA.

Computed properties:
- Relative energy among the computed polymorphs: 0.000 eV/atom
- V: 215.0 Å³/cell
- Energy of formation from the pure elements: 0.0134 eV per atom

```
InHg6Pb
1.0
4.753 0.000 0.000
0.000 4.753 0.000
0.000 0.000 9.513
In Hg Pb
1 6 1
direct
0.000 0.000 0.000
0.000 0.500 0.244
0.000 0.500 0.756
0.500 0.000 0.244
0.500 0.000 0.756
0.500 0.500 0.000
0.500 0.500 0.500
0.000 0.000 0.500
```

Record 2
Crystalline SrZn2PdPt at its relaxed geometry. Source: Alexandria, functional PBE-GGA.

Computed properties:
- V: 100.2 Å³/cell
- Energy of formation from the pure elements: -0.5041 eV per atom

```
SrZn2PdPt
1.0
-2.032 2.121 5.813
2.032 -2.121 5.813
2.032 2.121 -5.813
Sr Zn Pd Pt
1 2 1 1
direct
0.000 0.000 0.000
0.376 0.376 0.000
0.738 0.238 0.500
0.595 0.595 0.000
0.245 0.745 0.500
```

Record 3
Crystalline ScRePt2 at its relaxed geometry. Source: Alexandria, functional PBE-GGA.

Computed properties:
- V: 64.7 Å³/cell
- Energy of formation from the pure elements: -0.3591 eV per atom

```
ScRePt2
1.0
-1.993 1.993 4.074
1.993 -1.993 4.074
1.993 1.993 -4.074
Sc Re Pt
1 1 2
direct
0.000 0.000 0.000
0.750 0.250 0.500
0.250 0.750 0.500
0.500 0.500 0.000
```

Record 4
Crystalline MnNi2HAu at its relaxed geometry. Source: Alexandria, functional PBE-GGA.

Computed properties:
- Relative energy among the computed polymorphs: 0.116 eV/atom
- V: 56.7 Å³/cell

```
MnNi2HAu
1.0
3.811 0.000 0.000
0.000 3.811 0.000
0.000 0.000 3.904
Mn Ni H Au
1 2 1 1
direct
0.000 0.000 0.000
0.000 0.500 0.500
0.500 0.000 0.500
0.500 0.500 0.500
0.500 0.500 0.000
```

Record 5
Crystalline CrAsH at its relaxed geometry. Source: Alexandria, functional PBE-GGA.

Computed properties:
- Relative energy among the computed polymorphs: 0.166 eV/atom
- V: 88.0 Å³/cell

```
CrAsH
1.0
3.665 0.000 0.000
0.000 3.665 0.000
0.000 0.000 6.551
Cr As H
2 2 2
direct
0.250 0.750 0.000
0.750 0.250 0.000
0.250 0.250 0.236
0.750 0.750 0.764
0.250 0.250 0.470
0.750 0.750 0.530
```

Record 6
Crystalline AcTl2TeO8 at its relaxed geometry. Source: Alexandria, functional PBE-GGA.

Computed properties:
- Calculated total energy: -0.4048 Ry/atom
- V: 178.9 Å³/cell

```
AcTl2TeO8
1.0
4.852 0.000 0.000
0.000 7.330 0.000
-0.048 0.000 5.029
Ac Tl Te O
1 2 1 8
direct
0.000 0.000 0.000
0.500 0.266 0.500
0.500 0.734 0.500
0.000 0.500 0.000
0.145 0.298 0.788
0.145 0.702 0.788
0.324 0.500 0.240
0.467 0.000 0.248
0.533 0.000 0.752
0.676 0.500 0.760
0.855 0.298 0.212
0.855 0.702 0.212
```

Record 7
Crystalline PmAlSiO5 at its relaxed geometry. Source: Alexandria, functional PBE-GGA.

Computed properties:
- Calculated total energy: -0.5841 Ry/atom
- V: 181.1 Å³/cell

```
PmAlSiO5
1.0
3.283 -4.378 0.000
3.283 4.378 0.000
-2.467 0.000 6.300
Pm Al Si O
2 2 2 10
direct
0.172 0.828 0.750
0.828 0.172 0.250
0.500 0.500 0.000
0.500 0.500 0.500
0.182 0.818 0.250
0.818 0.182 0.750
0.112 0.248 0.920
0.187 0.605 0.389
0.248 0.112 0.420
0.395 0.813 0.111
0.431 0.569 0.750
0.569 0.431 0.250
0.605 0.187 0.889
0.752 0.888 0.580
0.813 0.395 0.611
0.888 0.752 0.080
```

Record 8
Crystalline BaTaPt3 at its relaxed geometry. Source: Alexandria, functional PBE-GGA.

Computed properties:
- Relative energy among the computed polymorphs: 2.404 eV/atom
- V: 138.7 Å³/cell
- Energy of formation from the pure elements: 2.2399 eV per atom

```
BaTaPt3
1.0
5.176 0.000 0.000
0.000 5.176 0.000
0.000 0.000 5.176
Ba Ta Pt
1 1 3
direct
0.000 0.000 0.000
0.500 0.500 0.500
0.000 0.000 0.500
0.000 0.500 0.000
0.500 0.000 0.000
```

Copy entry 6 word for word.
Crystalline AcTl2TeO8 at its relaxed geometry. Source: Alexandria, functional PBE-GGA.

Computed properties:
- Calculated total energy: -0.4048 Ry/atom
- V: 178.9 Å³/cell

```
AcTl2TeO8
1.0
4.852 0.000 0.000
0.000 7.330 0.000
-0.048 0.000 5.029
Ac Tl Te O
1 2 1 8
direct
0.000 0.000 0.000
0.500 0.266 0.500
0.500 0.734 0.500
0.000 0.500 0.000
0.145 0.298 0.788
0.145 0.702 0.788
0.324 0.500 0.240
0.467 0.000 0.248
0.533 0.000 0.752
0.676 0.500 0.760
0.855 0.298 0.212
0.855 0.702 0.212
```

- What is the formula in the first record?
  InHg6Pb